Compound: HfBe9Ni2
Source: Alexandria
Functional: GGA-PBE
Structure: optimized geometry

Structure (POSCAR):
```
HfBe9Ni2
1.0
2.1731 1.2546 6.8233
-2.1731 1.2546 6.8233
0.0000 -2.5092 6.8233
Hf Be Ni
1 9 2
Cartesian
0.0000 0.0000 0.0000
-1.1006 -0.6354 8.6158
0.0000 0.0000 6.8050
0.0000 -1.2709 11.8541
-1.1006 0.6354 11.8541
0.0000 0.0000 10.2350
1.1006 -0.6354 8.6158
0.0000 1.2709 8.6158
0.0000 0.0000 13.6649
1.1006 0.6354 11.8541
0.0000 0.0000 2.8783
0.0000 0.0000 17.5916
```

Calculated values
Calculated volume in Å³/cell: 112
Total moment in Bohr magnetons per cell: 0.0
Electronic total energy in eV/atom: -4.84

Compound: Pm5Er2Ge4
Source: Alexandria
Functional: GGA-PBE
Structure: optimized geometry

Structure (POSCAR):
```
Pm5Er2Ge4
1.0
10.6746 -1.9104 0.0000
10.6746 1.9104 0.0000
-0.8280 0.0000 8.1817
Pm Er Ge
5 2 4
Cartesian
0.0000 0.0000 0.0000
7.1922 0.0000 0.2222
8.0484 0.0000 4.6801
12.4728 0.0000 3.5016
13.3291 0.0000 7.9594
4.4305 0.0000 5.4227
16.0908 0.0000 2.7590
1.6382 0.0000 5.8605
9.8621 0.0000 2.1835
10.6591 0.0000 5.9981
18.8830 0.0000 2.3211
```

Calculated values
Calculated volume in Å³/cell: 334
Total moment in Bohr magnetons per cell: 0.0
Electronic total energy in eV/atom: -4.95

Compound: YNiHg2
Source: Alexandria
Functional: GGA-PBE
Structure: optimized geometry

Structure (POSCAR):
```
YNiHg2
1.0
-2.2164 2.2164 4.2084
2.2164 -2.2164 4.2084
2.2164 2.2164 -4.2084
Y Ni Hg
1 1 2
Cartesian
0.0000 0.0000 0.0000
0.0000 0.0000 4.2084
2.2164 0.0000 2.1042
0.0000 2.2164 2.1042
```

Calculated values
Calculated volume in Å³/cell: 83
Total moment in Bohr magnetons per cell: 0.0
Electronic total energy in eV/atom: -3.40

ΔH_f (0 K) for every record listed, in sequence, given in eV/atom: -0.25 -0.28 -0.19.